# PuHfGa3 | Alexandria via LeMat-Bulk | PBE | relaxed
# **Energy**: -7.06 eV/atom
# **SG**: Cmcm (63)
# **Energy of formation**: -186 kJ/mol of formula units
data_PuHfGa3
_chemical_formula_sum 'Pu2 Hf2 Ga6'
_cell_length_a 13.440
_cell_length_b 13.440
_cell_length_c 4.400
_cell_angle_alpha 90.00
_cell_angle_beta 90.00
_cell_angle_gamma 165.69
_symmetry_space_group_name_H-M 'P 1'
_symmetry_Int_Tables_number 1
loop_
_symmetry_equiv_pos_as_xyz
'x,y,z'
loop_
_atom_site_label
_atom_site_fract_x
_atom_site_fract_y
_atom_site_fract_z
_atom_site_occupancy
Pu1 0.076 0.924 0.750 1
Pu2 0.924 0.076 0.250 1
Hf1 0.214 0.786 0.250 1
Hf2 0.786 0.214 0.750 1
Ga1 0.319 0.681 0.250 1
Ga2 0.375 0.625 0.750 1
Ga3 0.475 0.525 0.750 1
Ga4 0.525 0.475 0.250 1
Ga5 0.625 0.375 0.250 1
Ga6 0.681 0.319 0.750 1